CaZnAu2 at its PBEsol-relaxed geometry, computed with meta-GGA SCAN.

For the total magnetic moment, the calculation gives 0.0 μB per cell. The energy of formation comes out at -606 meV/atom. As for the symmetry: Pmmm.

Structure (CIF):
```
data_CaZnAu2
_symmetry_space_group_name_H-M 'P 1'
_symmetry_Int_Tables_number 1
_symmetry_space_group_name_Hall 'P 1'
_cell_length_a 3.272
_cell_length_b 3.444
_cell_length_c 6.671
_cell_angle_alpha 90.00
_cell_angle_beta 90.00
_cell_angle_gamma 90.00
loop_
_atom_site_label
_atom_site_type_symbol
_atom_site_fract_x
_atom_site_fract_y
_atom_site_fract_z
Ca1 Ca 0.000 0.000 0.000
Zn1 Zn 0.000 0.000 0.500
Au1 Au 0.500 0.500 0.288
Au2 Au 0.500 0.500 0.712
```



NaAsPdBr2 at its PBEsol-relaxed geometry, computed with meta-GGA SCAN.

As for the formation energy without anion corrections: 52.0 kJ/mol of atoms. For the total magnetic moment, the calculation gives 2.0 μB per cell. As for the symmetry: P4/mmm.

Structure (CIF):
```
data_NaAsPdBr2
_symmetry_space_group_name_H-M 'P 1'
_symmetry_Int_Tables_number 1
_symmetry_space_group_name_Hall 'P 1'
_cell_length_a 5.067
_cell_length_b 5.067
_cell_length_c 5.253
_cell_angle_alpha 90.00
_cell_angle_beta 90.00
_cell_angle_gamma 90.00
loop_
_atom_site_label
_atom_site_type_symbol
_atom_site_fract_x
_atom_site_fract_y
_atom_site_fract_z
Na1 Na 0.000 0.000 0.000
As1 As 0.000 0.000 0.500
Pd1 Pd 0.500 0.500 0.500
Br1 Br 0.000 0.500 0.000
Br2 Br 0.500 0.000 0.000
```



BaTi2Bi2O at its PBEsol-relaxed geometry, computed with meta-GGA SCAN.

As for the formation energy without anion corrections: -131.2 kJ/mol of atoms. For the total magnetic moment, the calculation gives 0.4 μB per cell. As for the symmetry: P4/mmm.

Structure (CIF):
```
data_BaTi2Bi2O
_symmetry_space_group_name_H-M 'P 1'
_symmetry_Int_Tables_number 1
_symmetry_space_group_name_Hall 'P 1'
_cell_length_a 4.064
_cell_length_b 4.064
_cell_length_c 8.497
_cell_angle_alpha 90.00
_cell_angle_beta 90.00
_cell_angle_gamma 90.00
loop_
_atom_site_label
_atom_site_type_symbol
_atom_site_fract_x
_atom_site_fract_y
_atom_site_fract_z
Ba1 Ba 0.000 0.000 0.000
Ti1 Ti 0.000 0.500 0.500
Ti2 Ti 0.500 0.000 0.500
Bi1 Bi 0.500 0.500 0.251
Bi2 Bi 0.500 0.500 0.749
O1 O 0.000 0.000 0.500
```



Na2TiCu2 at its PBEsol-relaxed geometry, computed with meta-GGA SCAN.

For the total magnetic moment, the calculation gives 1.9 μB per cell. The energy of formation comes out at 507 meV/atom. As for the symmetry: I4/mmm.

Structure (CIF):
```
data_Na2TiCu2
_symmetry_space_group_name_H-M 'P 1'
_symmetry_Int_Tables_number 1
_symmetry_space_group_name_Hall 'P 1'
_cell_length_a 3.549
_cell_length_b 3.549
_cell_length_c 13.586
_cell_angle_alpha 90.00
_cell_angle_beta 90.00
_cell_angle_gamma 90.00
loop_
_atom_site_label
_atom_site_type_symbol
_atom_site_fract_x
_atom_site_fract_y
_atom_site_fract_z
Na1 Na 0.000 0.500 0.250
Na2 Na 0.000 0.500 0.750
Na3 Na 0.500 0.000 0.250
Na4 Na 0.500 0.000 0.750
Ti1 Ti 0.000 0.000 0.000
Ti2 Ti 0.500 0.500 0.500
Cu1 Cu 0.000 0.000 0.416
Cu2 Cu 0.000 0.000 0.584
Cu3 Cu 0.500 0.500 0.084
Cu4 Cu 0.500 0.500 0.916
```



InSeO3 at its PBEsol-relaxed geometry, computed with meta-GGA SCAN.

As for the formation energy without anion corrections: 0.6 kJ/mol of atoms. For the total magnetic moment, the calculation gives 0.0 μB per cell. As for the symmetry: Pm-3m.

Structure (CIF):
```
data_InSeO3
_symmetry_space_group_name_H-M 'P 1'
_symmetry_Int_Tables_number 1
_symmetry_space_group_name_Hall 'P 1'
_cell_length_a 4.086
_cell_length_b 4.086
_cell_length_c 4.086
_cell_angle_alpha 90.00
_cell_angle_beta 90.00
_cell_angle_gamma 90.00
loop_
_atom_site_label
_atom_site_type_symbol
_atom_site_fract_x
_atom_site_fract_y
_atom_site_fract_z
In1 In 0.000 0.000 0.000
Se1 Se 0.500 0.500 0.500
O1 O 0.000 0.000 0.500
O2 O 0.000 0.500 0.000
O3 O 0.500 0.000 0.000
```



CdInAg2 at its PBEsol-relaxed geometry, computed with meta-GGA SCAN.

For the total magnetic moment, the calculation gives 0.0 μB per cell. The energy of formation comes out at -15 meV/atom. As for the symmetry: Cm.

Structure (CIF):
```
data_CdInAg2
_symmetry_space_group_name_H-M 'P 1'
_symmetry_Int_Tables_number 1
_symmetry_space_group_name_Hall 'P 1'
_cell_length_a 10.665
_cell_length_b 3.106
_cell_length_c 5.025
_cell_angle_alpha 90.00
_cell_angle_beta 116.48
_cell_angle_gamma 90.00
loop_
_atom_site_label
_atom_site_type_symbol
_atom_site_fract_x
_atom_site_fract_y
_atom_site_fract_z
Cd1 Cd 0.000 0.000 0.000
Cd2 Cd 0.500 0.500 0.000
In1 In 0.262 0.500 0.406
In2 In 0.762 0.000 0.406
Ag1 Ag 0.013 0.500 0.503
Ag2 Ag 0.251 0.000 0.907
Ag3 Ag 0.513 0.000 0.503
Ag4 Ag 0.751 0.500 0.907
```



LaZrSc2 at its PBEsol-relaxed geometry, computed with meta-GGA SCAN.

For the energy above the most stable polymorph in this dataset, the calculation gives 0.16 eV per formula unit. For the total magnetic moment, the calculation gives 0.0 μB per cell. The energy of formation comes out at 112 meV/atom. As for the symmetry: I4/mmm.

Structure (CIF):
```
data_LaZrSc2
_symmetry_space_group_name_H-M 'P 1'
_symmetry_Int_Tables_number 1
_symmetry_space_group_name_Hall 'P 1'
_cell_length_a 4.734
_cell_length_b 4.734
_cell_length_c 8.936
_cell_angle_alpha 90.00
_cell_angle_beta 90.00
_cell_angle_gamma 90.00
loop_
_atom_site_label
_atom_site_type_symbol
_atom_site_fract_x
_atom_site_fract_y
_atom_site_fract_z
La1 La 0.000 0.000 0.000
La2 La 0.500 0.500 0.500
Zr1 Zr 0.000 0.000 0.500
Zr2 Zr 0.500 0.500 0.000
Sc1 Sc 0.000 0.500 0.250
Sc2 Sc 0.000 0.500 0.750
Sc3 Sc 0.500 0.000 0.250
Sc4 Sc 0.500 0.000 0.750
```



Pm2ZnAg at its PBEsol-relaxed geometry, computed with meta-GGA SCAN.

For the total magnetic moment, the calculation gives 0.1 μB per cell. The energy of formation comes out at -353 meV/atom. As for the symmetry: Fm-3m.

Structure (CIF):
```
data_Pm2ZnAg
_symmetry_space_group_name_H-M 'P 1'
_symmetry_Int_Tables_number 1
_symmetry_space_group_name_Hall 'P 1'
_cell_length_a 7.257
_cell_length_b 7.257
_cell_length_c 7.257
_cell_angle_alpha 90.00
_cell_angle_beta 90.00
_cell_angle_gamma 90.00
loop_
_atom_site_label
_atom_site_type_symbol
_atom_site_fract_x
_atom_site_fract_y
_atom_site_fract_z
Pm1 Pm 0.250 0.250 0.250
Pm2 Pm 0.250 0.250 0.750
Pm3 Pm 0.250 0.750 0.250
Pm4 Pm 0.250 0.750 0.750
Pm5 Pm 0.750 0.250 0.250
Pm6 Pm 0.750 0.250 0.750
Pm7 Pm 0.750 0.750 0.250
Pm8 Pm 0.750 0.750 0.750
Zn1 Zn 0.000 0.000 0.000
Zn2 Zn 0.000 0.500 0.500
Zn3 Zn 0.500 0.000 0.500
Zn4 Zn 0.500 0.500 0.000
Ag1 Ag 0.000 0.000 0.500
Ag2 Ag 0.000 0.500 0.000
Ag3 Ag 0.500 0.000 0.000
Ag4 Ag 0.500 0.500 0.500
```



HgOsPb at its PBEsol-relaxed geometry, computed with meta-GGA SCAN.

For the total magnetic moment, the calculation gives 0.0 μB per cell. The energy of formation comes out at 947 meV/atom. As for the symmetry: I4mm.

Structure (CIF):
```
data_HgOsPb
_symmetry_space_group_name_H-M 'P 1'
_symmetry_Int_Tables_number 1
_symmetry_space_group_name_Hall 'P 1'
_cell_length_a 3.153
_cell_length_b 3.153
_cell_length_c 12.520
_cell_angle_alpha 90.00
_cell_angle_beta 90.00
_cell_angle_gamma 90.00
loop_
_atom_site_label
_atom_site_type_symbol
_atom_site_fract_x
_atom_site_fract_y
_atom_site_fract_z
Hg1 Hg 0.000 0.000 0.000
Hg2 Hg 0.500 0.500 0.500
Os1 Os 0.000 0.000 0.639
Os2 Os 0.500 0.500 0.139
Pb1 Pb 0.000 0.000 0.284
Pb2 Pb 0.500 0.500 0.784
```



Li2IrW at its PBEsol-relaxed geometry, computed with meta-GGA SCAN.

For the total magnetic moment, the calculation gives 0.0 μB per cell. The energy of formation comes out at -109 meV/atom. As for the symmetry: F-43m.

Structure (CIF):
```
data_Li2IrW
_symmetry_space_group_name_H-M 'P 1'
_symmetry_Int_Tables_number 1
_symmetry_space_group_name_Hall 'P 1'
_cell_length_a 5.955
_cell_length_b 5.955
_cell_length_c 5.955
_cell_angle_alpha 90.00
_cell_angle_beta 90.00
_cell_angle_gamma 90.00
loop_
_atom_site_label
_atom_site_type_symbol
_atom_site_fract_x
_atom_site_fract_y
_atom_site_fract_z
Li1 Li 0.000 0.000 0.000
Li2 Li 0.000 0.500 0.500
Li3 Li 0.250 0.250 0.250
Li4 Li 0.250 0.750 0.750
Li5 Li 0.500 0.000 0.500
Li6 Li 0.500 0.500 0.000
Li7 Li 0.750 0.250 0.750
Li8 Li 0.750 0.750 0.250
Ir1 Ir 0.250 0.250 0.750
Ir2 Ir 0.250 0.750 0.250
Ir3 Ir 0.750 0.250 0.250
Ir4 Ir 0.750 0.750 0.750
W1 W 0.000 0.000 0.500
W2 W 0.000 0.500 0.000
W3 W 0.500 0.000 0.000
W4 W 0.500 0.500 0.500
```



Hg2Pt2Pb at its PBEsol-relaxed geometry, computed with meta-GGA SCAN.

For the total magnetic moment, the calculation gives 0.0 μB per cell. The energy of formation comes out at 185 meV/atom. As for the symmetry: I4/mmm.

Structure (CIF):
```
data_Hg2Pt2Pb
_symmetry_space_group_name_H-M 'P 1'
_symmetry_Int_Tables_number 1
_symmetry_space_group_name_Hall 'P 1'
_cell_length_a 3.976
_cell_length_b 3.976
_cell_length_c 13.311
_cell_angle_alpha 90.00
_cell_angle_beta 90.00
_cell_angle_gamma 90.00
loop_
_atom_site_label
_atom_site_type_symbol
_atom_site_fract_x
_atom_site_fract_y
_atom_site_fract_z
Hg1 Hg 0.000 0.000 0.108
Hg2 Hg 0.000 0.000 0.892
Hg3 Hg 0.500 0.500 0.392
Hg4 Hg 0.500 0.500 0.608
Pt1 Pt 0.000 0.500 0.250
Pt2 Pt 0.000 0.500 0.750
Pt3 Pt 0.500 0.000 0.250
Pt4 Pt 0.500 0.000 0.750
Pb1 Pb 0.000 0.000 0.500
Pb2 Pb 0.500 0.500 0.000
```



BeSeBr2 at its PBEsol-relaxed geometry, computed with meta-GGA SCAN.

For the energy above the most stable polymorph in this dataset, the calculation gives 0.00 eV per formula unit. As for the formation energy without anion corrections: -9.5 kJ/mol of atoms. For the total magnetic moment, the calculation gives 2.5 μB per cell. As for the symmetry: Immm.

Structure (CIF):
```
data_BeSeBr2
_symmetry_space_group_name_H-M 'P 1'
_symmetry_Int_Tables_number 1
_symmetry_space_group_name_Hall 'P 1'
_cell_length_a 3.106
_cell_length_b 5.947
_cell_length_c 10.994
_cell_angle_alpha 90.00
_cell_angle_beta 90.00
_cell_angle_gamma 90.00
loop_
_atom_site_label
_atom_site_type_symbol
_atom_site_fract_x
_atom_site_fract_y
_atom_site_fract_z
Be1 Be 0.000 0.000 0.000
Be2 Be 0.500 0.500 0.500
Se1 Se 0.000 0.000 0.500
Se2 Se 0.500 0.500 0.000
Br1 Br 0.000 0.500 0.354
Br2 Br 0.000 0.500 0.646
Br3 Br 0.500 0.000 0.146
Br4 Br 0.500 0.000 0.854
```